Entry 1:
DFT (GGA-PBEsol) results for crystalline CoHWO2 at its relaxed geometry.

Values from the calculation:
**Space-group type**: No. 123
**Total energy**: -36.69 eV per formula unit
**Total magnetic moment**: 2.02 μB/cell

```
data_CoHWO2
_symmetry_space_group_name_H-M 'P 1'
_symmetry_Int_Tables_number 1
_cell_length_a 3.500
_cell_length_b 3.865
_cell_length_c 3.865
_cell_angle_alpha 90.00
_cell_angle_beta 90.00
_cell_angle_gamma 90.00
loop_
_symmetry_equiv_pos_as_xyz
'x,y,z'
loop_
_atom_site_label
_atom_site_type_symbol
_atom_site_fract_x
_atom_site_fract_y
_atom_site_fract_z
H1 H 0.500 0.000 0.000
Co1 Co 0.500 0.500 0.500
O1 O 0.000 0.000 0.500
O2 O 0.000 0.500 0.000
W1 W 0.000 0.000 0.000
```


Entry 2:
DFT (GGA-PBEsol) results for crystalline Co2HOs2 at its relaxed geometry.

Values from the calculation:
**Space-group type**: No. 139
**Total energy**: -36.68 eV per formula unit
**Total magnetic moment**: 1.07 μB/cell

```
data_Co2HOs2
_symmetry_space_group_name_H-M 'P 1'
_symmetry_Int_Tables_number 1
_cell_length_a 3.551
_cell_length_b 3.551
_cell_length_c 5.978
_cell_angle_alpha 107.28
_cell_angle_beta 107.28
_cell_angle_gamma 90.00
loop_
_symmetry_equiv_pos_as_xyz
'x,y,z'
loop_
_atom_site_label
_atom_site_type_symbol
_atom_site_fract_x
_atom_site_fract_y
_atom_site_fract_z
Co1 Co 0.403 0.403 0.807
Co2 Co 0.597 0.597 0.193
Os1 Os 0.250 0.750 0.500
Os2 Os 0.750 0.250 0.500
H1 H 0.000 0.000 0.000
```


Entry 3:
DFT (GGA-PBEsol) results for crystalline CoP3H at its relaxed geometry.

Values from the calculation:
**Space-group type**: No. 221
**Total energy**: -25.04 eV per formula unit
**Total magnetic moment**: 0.00 μB/cell

```
data_CoP3H
_symmetry_space_group_name_H-M 'P 1'
_symmetry_Int_Tables_number 1
_cell_length_a 3.765
_cell_length_b 3.765
_cell_length_c 3.765
_cell_angle_alpha 90.00
_cell_angle_beta 90.00
_cell_angle_gamma 90.00
loop_
_symmetry_equiv_pos_as_xyz
'x,y,z'
loop_
_atom_site_label
_atom_site_type_symbol
_atom_site_fract_x
_atom_site_fract_y
_atom_site_fract_z
P1 P 0.000 0.500 0.000
P2 P 0.000 0.000 0.500
P3 P 0.500 0.000 0.000
Co1 Co 0.500 0.500 0.500
H1 H 0.000 0.000 0.000
```


Entry 4:
DFT (GGA-PBEsol) results for crystalline Co2PHSe at its relaxed geometry.

Values from the calculation:
**Space-group type**: No. 123
**Total energy**: -26.43 eV per formula unit
**Total magnetic moment**: 1.21 μB/cell

```
data_Co2PHSe
_symmetry_space_group_name_H-M 'P 1'
_symmetry_Int_Tables_number 1
_cell_length_a 3.434
_cell_length_b 3.905
_cell_length_c 3.905
_cell_angle_alpha 90.00
_cell_angle_beta 90.00
_cell_angle_gamma 90.00
loop_
_symmetry_equiv_pos_as_xyz
'x,y,z'
loop_
_atom_site_label
_atom_site_type_symbol
_atom_site_fract_x
_atom_site_fract_y
_atom_site_fract_z
P1 P 0.500 0.000 0.000
Co1 Co 0.000 0.000 0.500
Co2 Co 0.000 0.500 0.000
Se1 Se 0.500 0.500 0.500
H1 H 0.000 0.000 0.000
```